Here is a relaxed La4GeP2Cl crystal from Alexandria via LeMat-Bulk. Energies are from PBE.

Unit cell a=7.4057 b=4.2946 c=7.4646 alpha=90.00 beta=109.05 gamma=90.00
Fractional positions:
La1 0.2361 0.0000 0.2319
La2 0.2495 0.5000 0.7595
La3 0.7505 0.5000 0.2405
La4 0.7639 0.0000 0.7681
Ge1 0.0000 0.0000 0.5000
P1 0.0000 0.5000 0.0000
P2 0.5000 0.0000 0.0000
Cl1 0.5000 0.5000 0.5000

Results
Magnetic moment   0.00 μB/atom
Theoretical density   5.370 Mg/m³
DOS at the Fermi energy   2.689 states/eV/cell
Formation energy (no corrections)   -1.499 eV/atom
Symmetry   P2/m, No. 10